Below is a crystal of YBeNi relaxed with PBEsol, with properties calculated at the meta-GGA SCAN level.

a b c (Å): 3.8587 3.8587 3.7167
angles (deg): 90.00 90.00 120.00
With the nearest neighbours (Å) after each atom.
Fractional coordinates of all 3 atoms:
Y: 0.0000 0.0000 0.0000  6 Be 2.90, 6 Ni 2.90
Be: 0.3333 0.6667 0.5000  3 Ni 2.23
Ni: 0.6667 0.3333 0.5000  3 Be 2.23

Calculated values
Calculated density (kg/m³): 5426
Calculated total energy (eV/f.u.): -49.25


Below is a crystal of BeCr2Os relaxed with PBEsol, with properties calculated at the meta-GGA SCAN level.

a b c (Å): 4.6113 4.6113 4.6113
angles (deg): 143.68 127.78 65.27
With the nearest neighbours (Å) after each atom.
Fractional coordinates of all 4 atoms:
Be: 0.0000 0.0000 0.0000  6 Cr 2.45-2.49, 2 Os 2.46
Cr: 0.2552 0.7552 0.5000  2 Cr 2.30, 2 Be 2.45, 4 Os 2.49
Cr: 0.4865 0.4865 0.0000  2 Cr 2.30, 2 Os 2.46, 4 Be 2.49
Os: 0.7437 0.2437 0.5000  2 Be 2.46, 6 Cr 2.46-2.49

Calculated values
Calculated density (kg/m³): 11113
Calculated total energy (eV/f.u.): -113.37


Below is a crystal of ReIr3Os relaxed with PBEsol, with properties calculated at the meta-GGA SCAN level.

a b c (Å): 4.6219 4.6219 4.6219
angles (deg): 90.00 90.00 90.00
With the nearest neighbours (Å) after each atom.
Fractional coordinates of all 5 atoms:
Re: 0.0000 0.0000 0.0000  12 Ir 3.27
Ir: 0.0000 0.5000 0.5000  2 Os 2.31
Ir: 0.5000 0.0000 0.5000  2 Os 2.31
Ir: 0.5000 0.5000 0.0000  2 Os 2.31
Os: 0.5000 0.5000 0.5000  6 Ir 2.31

Calculated values
Calculated density (kg/m³): 16030
Calculated total energy (eV/f.u.): -343.52


Below is a crystal of HfMn6Ge6 relaxed with PBEsol, with properties calculated at the meta-GGA SCAN level.

a b c (Å): 5.0295 5.0295 7.9831
angles (deg): 90.00 90.00 120.00
With the nearest neighbours (Å) after each atom.
Fractional coordinates of all 13 atoms:
Hf: 0.0000 0.0000 0.0000  8 Ge 2.71-2.90
Mn: 0.0000 0.5000 0.2486  6 Ge 2.46-2.62, 4 Mn 2.51
Mn: 0.0000 0.5000 0.7514  6 Ge 2.46-2.62, 4 Mn 2.51
Mn: 0.5000 0.0000 0.2486  6 Ge 2.46-2.62, 4 Mn 2.51
Mn: 0.5000 0.0000 0.7514  6 Ge 2.46-2.62, 4 Mn 2.51
Mn: 0.5000 0.5000 0.2486  6 Ge 2.46-2.62, 4 Mn 2.51
Mn: 0.5000 0.5000 0.7514  6 Ge 2.46-2.62, 4 Mn 2.51
Ge: 0.0000 0.0000 0.3401  1 Ge 2.55, 6 Mn 2.62, 1 Hf 2.71
Ge: 0.0000 0.0000 0.6599  1 Ge 2.55, 6 Mn 2.62, 1 Hf 2.71
Ge: 0.3333 0.6667 0.0000  6 Mn 2.46
Ge: 0.3333 0.6667 0.5000  6 Mn 2.48
Ge: 0.6667 0.3333 0.0000  6 Mn 2.46
Ge: 0.6667 0.3333 0.5000  6 Mn 2.48

Calculated values
Calculated density (kg/m³): 8963
Calculated total energy (eV/f.u.): -292.10


Below is a crystal of YCdHg relaxed with PBEsol, with properties calculated at the meta-GGA SCAN level.

a b c (Å): 3.6176 3.6176 6.7000
angles (deg): 90.00 90.00 120.00
With the nearest neighbours (Å) after each atom.
Fractional coordinates of all 3 atoms:
Y: 0.0000 0.0000 0.0000  3 Hg 3.06, 3 Cd 3.16
Cd: 0.3333 0.6667 0.6469  3 Hg 2.96, 3 Y 3.16
Hg: 0.6667 0.3333 0.3345  3 Cd 2.96, 3 Y 3.06

Calculated values
Calculated density (kg/m³): 8789
Calculated total energy (eV/f.u.): -127.37


Below is a crystal of LiAlRe2 relaxed with PBEsol, with properties calculated at the meta-GGA SCAN level.

a b c (Å): 4.2478 4.2478 4.2478
angles (deg): 60.00 60.00 60.00
With the nearest neighbours (Å) after each atom.
Fractional coordinates of all 4 atoms:
Li: 0.0000 0.0000 0.0000  4 Re 2.60, 4 Al 2.60
Al: 0.2500 0.2500 0.2500  4 Re 2.60, 4 Li 2.60
Re: 0.5000 0.5000 0.5000  4 Re 2.60, 4 Al 2.60
Re: 0.7500 0.7500 0.7500  4 Li 2.60, 4 Re 2.60

Calculated values
Calculated density (kg/m³): 12450
Calculated total energy (eV/f.u.): -153.52


Below is a crystal of AlCo3W relaxed with PBEsol, with properties calculated at the meta-GGA SCAN level.

a b c (Å): 4.0684 4.0684 4.0684
angles (deg): 90.00 90.00 90.00
With the nearest neighbours (Å) after each atom.
Fractional coordinates of all 5 atoms:
Al: 0.0000 0.0000 0.0000  6 Co 2.03
Co: 0.0000 0.0000 0.5000  2 Al 2.03
Co: 0.0000 0.5000 0.0000  2 Al 2.03
Co: 0.5000 0.0000 0.0000  2 Al 2.03
W: 0.5000 0.5000 0.5000  12 Co 2.88

Calculated values
Calculated density (kg/m³): 9559
Calculated total energy (eV/f.u.): -123.27


Below is a crystal of NaPb3 relaxed with PBEsol, with properties calculated at the meta-GGA SCAN level.

a b c (Å): 4.8269 4.8269 4.8269
angles (deg): 90.00 90.00 90.00
With the nearest neighbours (Å) after each atom.
Fractional coordinates of all 4 atoms:
Na: 0.0000 0.0000 0.0000  12 Pb 3.41
Pb: 0.0000 0.5000 0.5000  8 Pb 3.41, 4 Na 3.41
Pb: 0.5000 0.0000 0.5000  8 Pb 3.41, 4 Na 3.41
Pb: 0.5000 0.5000 0.0000  8 Pb 3.41, 4 Na 3.41

Calculated values
Calculated density (kg/m³): 9517
Calculated total energy (eV/f.u.): -232.35


Below is a crystal of Nd5In11Ni6 relaxed with PBEsol, with properties calculated at the meta-GGA SCAN level.

a b c (Å): 10.2114 10.2114 4.3509
angles (deg): 90.00 90.00 90.22
With the nearest neighbours (Å) after each atom.
Fractional coordinates of all 22 atoms:
Nd: 0.0000 0.0000 0.0000  8 Ni 3.19, 6 In 3.25-3.56
Nd: 0.1898 0.4642 0.5000  3 Ni 2.83-3.16
Nd: 0.4642 0.1898 0.5000  3 Ni 2.83-3.16
Nd: 0.5358 0.8102 0.5000  3 Ni 2.83-3.16
Nd: 0.8102 0.5358 0.5000  3 Ni 2.83-3.16
In: 0.0358 0.6509 0.0000  2 Ni 2.70, 1 In 2.96
In: 0.1945 0.8055 0.5000  2 Ni 2.56
In: 0.2255 0.2255 0.0000  5 Ni 2.62-2.79
In: 0.3393 0.6607 0.0000  2 Ni 2.68
In: 0.3491 0.9642 0.0000  2 Ni 2.70, 1 In 2.96
In: 0.5000 0.5000 0.5000  4 Ni 2.55
In: 0.6509 0.0358 0.0000  2 Ni 2.70, 1 In 2.96
In: 0.6607 0.3393 0.0000  2 Ni 2.68
In: 0.7745 0.7745 0.0000  5 Ni 2.62-2.79
In: 0.8055 0.1945 0.5000  2 Ni 2.56
In: 0.9642 0.3491 0.0000  2 Ni 2.70, 1 In 2.96
Ni: 0.0551 0.2218 0.5000  1 Ni 2.41, 1 In 2.56
Ni: 0.2218 0.0551 0.5000  1 Ni 2.41, 1 In 2.56
Ni: 0.4071 0.4071 0.0000  5 In 2.55-2.68, 1 Ni 2.68
Ni: 0.5929 0.5929 0.0000  5 In 2.55-2.68, 1 Ni 2.68
Ni: 0.7782 0.9449 0.5000  1 Ni 2.41, 1 In 2.56
Ni: 0.9449 0.7782 0.5000  1 Ni 2.41, 1 In 2.56

Calculated values
Calculated density (kg/m³): 8552
Calculated total energy (eV/f.u.): -693.36


Below is a crystal of Ca3Ni relaxed with PBEsol, with properties calculated at the meta-GGA SCAN level.

a b c (Å): 7.4639 9.5171 6.4656
angles (deg): 90.00 90.00 90.00
With the nearest neighbours (Å) after each atom.
Fractional coordinates of all 16 atoms:
Ca: 0.0446 0.2500 0.1480  2 Ni 2.78-2.86
Ca: 0.1696 0.0686 0.6647  2 Ni 2.89-2.98
Ca: 0.1696 0.4314 0.6647  2 Ni 2.89-2.98
Ca: 0.3304 0.5686 0.1647  2 Ni 2.89-2.98
Ca: 0.3304 0.9314 0.1647  2 Ni 2.89-2.98
Ca: 0.4554 0.7500 0.6480  2 Ni 2.78-2.86
Ca: 0.5446 0.2500 0.3520  2 Ni 2.78-2.86
Ca: 0.6696 0.0686 0.8353  2 Ni 2.89-2.98
Ca: 0.6696 0.4314 0.8353  2 Ni 2.89-2.98
Ca: 0.8304 0.5686 0.3353  2 Ni 2.89-2.98
Ca: 0.8304 0.9314 0.3353  2 Ni 2.89-2.98
Ca: 0.9554 0.7500 0.8520  2 Ni 2.78-2.86
Ni: 0.1228 0.7500 0.4548  6 Ca 2.78-2.98
Ni: 0.3772 0.2500 0.9548  6 Ca 2.78-2.98
Ni: 0.6228 0.7500 0.0452  6 Ca 2.78-2.98
Ni: 0.8772 0.2500 0.5452  6 Ca 2.78-2.98

Calculated values
Calculated density (kg/m³): 2588
Calculated total energy (eV/f.u.): -45.27


Below is a crystal of Mn4MoPt relaxed with PBEsol, with properties calculated at the meta-GGA SCAN level.

a b c (Å): 4.6543 4.6543 4.6543
angles (deg): 60.00 60.00 60.00
With the nearest neighbours (Å) after each atom.
Fractional coordinates of all 6 atoms:
Mn: 0.1229 0.1229 0.1229  6 Mn 2.29-2.37
Mn: 0.1229 0.1229 0.6312  6 Mn 2.29-2.37
Mn: 0.1229 0.6312 0.1229  6 Mn 2.29-2.37
Mn: 0.6312 0.1229 0.1229  6 Mn 2.29-2.37
Mo: 0.5000 0.5000 0.5000  12 Mn 2.73, 4 Pt 2.85
Pt: 0.7500 0.7500 0.7500  12 Mn 2.72, 4 Mo 2.85

Calculated values
Calculated density (kg/m³): 11897
Calculated total energy (eV/f.u.): -178.43


Below is a crystal of CaTc2W relaxed with PBEsol, with properties calculated at the meta-GGA SCAN level.

a b c (Å): 2.8284 4.1391 6.1593
angles (deg): 90.00 100.37 90.00
With the nearest neighbours (Å) after each atom.
Fractional coordinates of all 4 atoms:
Ca: 0.0000 0.0000 0.0000  2 Ca 2.83, 4 Tc 3.01, 2 W 3.15
Tc: 0.2825 0.5000 0.6929  2 W 2.52, 1 Tc 2.61
Tc: 0.7175 0.5000 0.3071  2 W 2.52, 1 Tc 2.61
W: 0.5000 0.0000 0.5000  4 Tc 2.52

Calculated values
Calculated density (kg/m³): 9831
Calculated total energy (eV/f.u.): -147.63


Below is a crystal of Zr2Co relaxed with PBEsol, with properties calculated at the meta-GGA SCAN level.

a b c (Å): 5.1740 5.1740 5.1740
angles (deg): 105.72 105.72 117.27
With the nearest neighbours (Å) after each atom.
Fractional coordinates of all 6 atoms:
Zr: 0.1701 0.6701 0.8402  4 Co 2.68
Zr: 0.3299 0.1701 0.5000  4 Co 2.68
Zr: 0.6701 0.8299 0.5000  4 Co 2.68
Zr: 0.8299 0.3299 0.1598  4 Co 2.68
Co: 0.2500 0.2500 0.0000  8 Zr 2.68, 2 Co 2.69
Co: 0.7500 0.7500 0.0000  8 Zr 2.68, 2 Co 2.69

Calculated values
Calculated density (kg/m³): 7626
Calculated total energy (eV/f.u.): -79.33